[1]
A relaxed CoB2Te crystal, computed with PBE.

Computed properties:
Crystal system: monoclinic
Energy in eV per formula unit: -22.3
DOS at the Fermi energy in states/eV/f.u.: 1.62
Formation energy (no corrections) in meV per atom: 332

Unit cell a=4.082 b=3.030 c=4.720 alpha=90.00 beta=90.08 gamma=90.00
Space group Pm (No. 6)
Symmetry-distinct sites (fractional):
Co 0.000 0.000 0.000
B 0.506 0.000 0.997
B 0.696 0.500 0.999
Te 0.237 0.000 0.501


[2]
A relaxed CoBTe2 crystal, computed with PBE.

Computed properties:
Crystal system: tetragonal
Energy in eV per formula unit: -18.7
DOS at the Fermi energy in states/eV/f.u.: 2.59
Formation energy (no corrections) in meV per atom: 338

Unit cell a=5.615 b=5.615 c=10.684 alpha=90.00 beta=90.00 gamma=90.00
Space group I-42d (No. 122)
Symmetry-distinct sites (fractional):
Co 0.000 0.000 0.000
B 0.000 0.000 0.500
Te 0.225 0.250 0.625


[3]
A relaxed CoBTe2 crystal, computed with PBE.

Computed properties:
Crystal system: trigonal
Energy in eV per formula unit: -16.3
DOS at the Fermi energy in states/eV/f.u.: 3.36
Formation energy (no corrections) in meV per atom: 935

Unit cell a=3.5009 b=3.5009 c=23.1732 alpha=90.00 beta=90.00 gamma=120.00
Space group R-3m (No. 166, hexagonal axes)
Symmetry-distinct sites (fractional):
Co 0.0000 0.0000 0.0000
B 0.0000 0.0000 0.5000
Te 0.0000 0.0000 0.1045


[4]
A relaxed CoB2Te crystal, computed with PBE.

Computed properties:
Crystal system: monoclinic
Energy in eV per formula unit: -21.5
DOS at the Fermi energy in states/eV/f.u.: 1.77
Formation energy (no corrections) in meV per atom: 522

Unit cell a=5.304 b=9.808 c=3.199 alpha=90.00 beta=126.79 gamma=90.00
Space group C2 (No. 5)
Symmetry-distinct sites (fractional):
Co 0.000 0.000 0.000
B 0.000 0.810 0.000
B 0.000 0.887 0.500
Te 0.000 0.632 0.500


[5]
A relaxed CoB2Te crystal, computed with PBE.

Computed properties:
Crystal system: trigonal
Energy in eV per formula unit: -23.0
DOS at the Fermi energy in states/eV/f.u.: 2.27
Formation energy (no corrections) in meV per atom: 153

Unit cell a=3.2586 b=3.2586 c=17.5771 alpha=90.00 beta=90.00 gamma=120.00
Space group R3m (No. 160, hexagonal axes)
Symmetry-distinct sites (fractional):
Co 0.0000 0.0000 0.0000
B 0.0000 0.0000 0.3643
B 0.0000 0.0000 0.7112
Te 0.0000 0.0000 0.8560


[6]
A relaxed VCoB2Te crystal, computed with PBE.

Computed properties:
Crystal system: tetragonal
Energy in eV per formula unit: -26.3
DOS at the Fermi energy in states/eV/f.u.: 4.03
Formation energy (no corrections) in meV per atom: 1292

Unit cell a=4.086 b=4.086 c=4.429 alpha=90.00 beta=90.00 gamma=90.00
Space group P4/mmm (No. 123)
Symmetry-distinct sites (fractional):
V 0.000 0.000 0.000
Co 0.000 0.000 0.500
B 0.000 0.500 0.000
Te 0.500 0.500 0.500


Question: What is the DOS at the Fermi energy in the fourth record?
Answer: 1.77 states/eV/f.u.


Question: Which formula does entry 1 have?
Answer: CoB2Te